P) Computed, not measured: a relaxed structure of Nd5Dy2Ho at the PBE level of DFT.

Lattice parameters (Å, degrees): 7.2461 14.5039 5.1312 90.00 90.00 90.00
With the nearest neighbours (Å) after each atom.
Positions (direct):
Nd  0.0000  0.0000  0.0000  4 Dy 3.62, 2 Ho 3.62, 6 Nd 3.63-3.65
Nd  0.0010  0.2514  0.0000  1 Ho 3.61, 4 Dy 3.62-3.65, 7 Nd 3.62-3.65
Nd  0.2483  0.6240  0.5000  4 Dy 3.60-3.66, 2 Ho 3.61, 6 Nd 3.62-3.65
Nd  0.2517  0.1240  0.5000  4 Dy 3.60-3.66, 2 Ho 3.61, 6 Nd 3.62-3.65
Nd  0.4990  0.7514  0.0000  1 Ho 3.61, 4 Dy 3.62-3.65, 7 Nd 3.62-3.65
Nd  0.5000  0.5000  0.0000  4 Dy 3.62, 2 Ho 3.62, 6 Nd 3.63-3.65
Nd  0.5010  0.2486  0.0000  1 Ho 3.61, 4 Dy 3.62-3.65, 7 Nd 3.62-3.65
Nd  0.7483  0.8760  0.5000  4 Dy 3.60-3.66, 2 Ho 3.61, 6 Nd 3.62-3.65
Nd  0.7517  0.3760  0.5000  4 Dy 3.60-3.66, 2 Ho 3.61, 6 Nd 3.62-3.65
Nd  0.9990  0.7486  0.0000  1 Ho 3.61, 4 Dy 3.62-3.65, 7 Nd 3.62-3.65
Dy  0.2501  0.3761  0.5000  10 Nd 3.60-3.66, 2 Ho 3.62
Dy  0.2499  0.8761  0.5000  10 Nd 3.60-3.66, 2 Ho 3.62
Dy  0.7501  0.1239  0.5000  10 Nd 3.60-3.66, 2 Ho 3.62
Dy  0.7499  0.6239  0.5000  10 Nd 3.60-3.66, 2 Ho 3.62
Ho  0.0000  0.5000  0.0000  8 Nd 3.61-3.62, 4 Dy 3.62
Ho  0.5000  0.0000  0.0000  8 Nd 3.61-3.62, 4 Dy 3.62


Q) Computed, not measured: a relaxed structure of Nd5Dy2Ho at the PBE level of DFT.

Lattice parameters (Å, degrees): 13.2474 13.2474 5.8244 90.08 90.08 147.75
With the nearest neighbours (Å) after each atom.
Positions (direct):
Nd  0.0816  0.9184  0.5000  3 Ho 3.58-3.64, 4 Dy 3.58-3.69, 5 Nd 3.62-3.69
Nd  0.1680  0.8354  0.0005  4 Dy 3.59-3.71, 7 Nd 3.60-3.70, 1 Ho 3.66
Nd  0.3333  0.6659  0.4999  4 Dy 3.58-3.72, 7 Nd 3.60-3.70, 1 Ho 3.66
Nd  0.4194  0.5824  0.9992  3 Ho 3.58-3.64, 4 Dy 3.58-3.69, 5 Nd 3.62-3.69
Nd  0.5435  0.9580  0.0002  8 Nd 3.60-3.70, 4 Dy 3.64-3.68
Nd  0.5824  0.4194  0.4992  3 Ho 3.58-3.64, 4 Dy 3.58-3.69, 5 Nd 3.62-3.69
Nd  0.6659  0.3333  0.9999  4 Dy 3.58-3.72, 7 Nd 3.60-3.70, 1 Ho 3.66
Nd  0.8354  0.1680  0.5005  4 Dy 3.59-3.71, 7 Nd 3.60-3.70, 1 Ho 3.66
Nd  0.9184  0.0816  0.0000  3 Ho 3.58-3.64, 4 Dy 3.58-3.69, 5 Nd 3.62-3.69
Nd  0.9580  0.5435  0.5002  8 Nd 3.60-3.70, 4 Dy 3.64-3.68
Dy  0.0437  0.4579  0.0002  12 Nd 3.58-3.72
Dy  0.2089  0.2919  0.4996  8 Nd 3.58-3.67, 2 Dy 3.60, 2 Ho 3.68
Dy  0.2919  0.2089  0.9996  8 Nd 3.58-3.67, 2 Dy 3.60, 2 Ho 3.68
Dy  0.4579  0.0437  0.5002  12 Nd 3.58-3.72
Ho  0.7083  0.7925  0.4994  8 Nd 3.58-3.66, 2 Ho 3.62, 2 Dy 3.68
Ho  0.7925  0.7083  0.9994  8 Nd 3.58-3.66, 2 Ho 3.62, 2 Dy 3.68


Stability summary - winner: P); margin: 0.8 kJ/mol of atoms.